(1)
A plane-wave DFT calculation with PBE was carried out for a geometry-optimized Mg2HgIr structure.

Cell: 2.982 2.982 9.566 Å, 90.00 90.00 116.38°
Positions (direct):
1 Mg 0.000 0.000 0.000
2 Mg 0.500 0.500 0.278
3 Hg 0.000 0.000 0.537
4 Ir 0.500 0.500 0.786

Distance to the lowest polymorph of the same formula   454 meV per atom
ρ   9.619 g/cm³
Calculated total energy   -11.8 eV/cell
Energy of formation from the pure elements   0.144 eV per atom
N(E_F)   0.417 states/eV per atom

***

(2)
A plane-wave DFT calculation with PBE was carried out for a geometry-optimized Ba6InIr structure.

Cell: 10.122 10.122 12.255 Å, 120.78 120.78 74.29°
Positions (direct):
1 Ba 0.008 0.643 0.339
2 Ba 0.153 0.778 0.785
3 Ba 0.222 0.847 0.215
4 Ba 0.277 0.277 0.132
5 Ba 0.339 0.339 0.539
6 Ba 0.357 0.992 0.661
7 Ba 0.643 0.008 0.339
8 Ba 0.661 0.661 0.461
9 Ba 0.723 0.723 0.868
10 Ba 0.778 0.153 0.785
11 Ba 0.847 0.222 0.215
12 Ba 0.992 0.357 0.661
13 In 0.000 0.500 0.000
14 In 0.500 0.000 0.000
15 Ir 0.000 0.500 0.500
16 Ir 0.500 0.000 0.500

Distance to the lowest polymorph of the same formula   97 meV per atom
ρ   4.053 g/cm³
Calculated total energy   -47.0 eV/cell
Energy of formation from the pure elements   -0.048 eV per atom
N(E_F)   1.232 states/eV per atom

***

(3)
A plane-wave DFT calculation with PBE was carried out for a geometry-optimized Y4Tm3Ni4 structure.

Cell: 8.911 8.911 8.911 Å, 155.52 118.83 66.90°
Positions (direct):
1 Y 0.028 0.841 0.186
2 Y 0.345 0.159 0.186
3 Y 0.655 0.841 0.814
4 Y 0.972 0.159 0.814
5 Tm 0.000 0.500 0.500
6 Tm 0.389 0.389 0.000
7 Tm 0.611 0.611 0.000
8 Ni 0.240 0.740 0.500
9 Ni 0.357 0.000 0.357
10 Ni 0.643 0.000 0.643
11 Ni 0.760 0.260 0.500

ρ   7.151 g/cm³
Calculated total energy   -64.9 eV/cell
Energy of formation from the pure elements   -0.229 eV per atom
N(E_F)   1.011 states/eV per atom

***

(4)
A plane-wave DFT calculation with PBE was carried out for a geometry-optimized ScTePb2 structure.

Cell: 3.687 3.707 8.451 Å, 90.00 90.00 90.00°
Positions (direct):
1 Sc 0.000 0.000 0.000
2 Te 0.500 0.500 0.839
3 Pb 0.000 0.000 0.519
4 Pb 0.500 0.500 0.256

ρ   8.439 g/cm³
Calculated total energy   -18.5 eV/cell
N(E_F)   0.617 states/eV per atom
Raw formation energy   -1.6 eV per formula unit

***

(5)
A plane-wave DFT calculation with PBE was carried out for a geometry-optimized LaThCuPd structure.

Cell: 5.143 5.143 5.143 Å, 60.00 60.00 60.00°
Positions (direct):
1 La 0.000 0.000 0.000
2 Th 0.500 0.500 0.500
3 Cu 0.250 0.250 0.250
4 Pd 0.750 0.750 0.750

ρ   9.336 g/cm³
Calculated total energy   -23.1 eV/cell
Energy of formation from the pure elements   -0.360 eV per atom
N(E_F)   0.989 states/eV per atom

***

(6)
A plane-wave DFT calculation with PBE was carried out for a geometry-optimized Sm4DyHo structure.

Cell: 8.230 8.230 3.458 Å, 90.00 90.00 90.02°
Positions (direct):
1 Sm 0.239 0.761 0.000
2 Sm 0.261 0.261 0.500
3 Sm 0.739 0.739 0.500
4 Sm 0.761 0.239 0.000
5 Dy 0.500 0.500 0.000
6 Ho 0.000 0.000 0.500

Distance to the lowest polymorph of the same formula   631 meV per atom
ρ   6.585 g/cm³
Calculated total energy   -24.2 eV/cell
Energy of formation from the pure elements   0.647 eV per atom
N(E_F)   1.592 states/eV per atom

***

(7)
A plane-wave DFT calculation with PBE was carried out for a geometry-optimized Rb2UCrS5 structure.

Cell: 9.801 9.801 14.101 Å, 90.00 90.00 156.08°
Positions (direct):
1 Rb 0.124 0.876 0.500
2 Rb 0.126 0.874 0.150
3 Rb 0.874 0.126 0.650
4 Rb 0.876 0.124 0.000
5 U 0.197 0.803 0.844
6 U 0.803 0.197 0.344
7 Cr 0.429 0.571 0.239
8 Cr 0.571 0.429 0.739
9 S 0.057 0.943 0.816
10 S 0.307 0.693 0.464
11 S 0.312 0.688 0.214
12 S 0.325 0.675 0.826
13 S 0.490 0.510 0.113
14 S 0.510 0.490 0.613
15 S 0.675 0.325 0.326
16 S 0.688 0.312 0.714
17 S 0.693 0.307 0.964
18 S 0.943 0.057 0.316

ρ   3.758 g/cm³
Calculated total energy   -106.7 eV/cell
N(E_F)   0.671 states/eV per atom
Raw formation energy   -9.9 eV per formula unit

***

(8)
A plane-wave DFT calculation with PBE was carried out for a geometry-optimized PrHoThMg structure.

Cell: 3.620 3.620 9.347 Å, 90.00 90.00 90.00°
Positions (direct):
1 Pr 0.000 0.000 0.000
2 Ho 0.000 0.000 0.482
3 Th 0.500 0.500 0.735
4 Mg 0.500 0.500 0.252

Distance to the lowest polymorph of the same formula   0 meV per atom
ρ   7.623 g/cm³
Calculated total energy   -18.5 eV/cell
Energy of formation from the pure elements   -0.042 eV per atom
N(E_F)   1.001 states/eV per atom